1.
VASP calculation (PBE) on a relaxed structure of SrAg4BrO2.

- Energy: -3.50 eV/atom
- Theoretical density: 6.72 g cm⁻³
- ΔE_f (raw): -9.62 kcal/mol of atoms

Cell lengths 3.8493, 3.8493, 10.5215 Å; angles 90.00, 90.00, 90.00 degrees
Space group P4/mmm (No. 123)
Asymmetric unit:
Sr: 0.0000 0.0000 0.0000 x1
Ag: 0.0000 0.5000 0.2762 x4
Br: 0.0000 0.0000 0.5000 x1
O: 0.5000 0.5000 0.1241 x2


2.
VASP calculation (PBE) on a relaxed structure of TaAg2BrO.

- Energy: -4.95 eV/atom
- Theoretical density: 7.00 g cm⁻³
- ΔE_f (raw): -2.56 kcal/mol of atoms

Cell lengths 5.5128, 5.5128, 3.8445 Å; angles 90.00, 90.00, 90.00 degrees
Space group P4/mmm (No. 123)
Asymmetric unit:
Ta: 0.0000 0.0000 0.0000 x1
Ag: 0.0000 0.5000 0.0000 x2
Br: 0.5000 0.5000 0.5000 x1
O: 0.0000 0.0000 0.5000 x1


3.
VASP calculation (PBE) on a relaxed structure of AgTeBrO2.

- Energy: -4.13 eV/atom
- Theoretical density: 5.37 g cm⁻³
- ΔE_f (raw): -14.12 kcal/mol of atoms

Cell lengths 6.8842, 4.1257, 7.8080 Å; angles 90.00, 104.47, 90.00 degrees
Space group P2_1/m (No. 11)
Asymmetric unit:
Ag: 0.2272 0.2500 0.4057 x2
Te: 0.1447 0.2500 0.9044 x2
Br: 0.4916 0.2500 0.7226 x2
O: 0.0291 0.7500 0.3179 x2
O: 0.0622 0.7500 0.9379 x2


4.
VASP calculation (PBE) on a relaxed structure of TlAgBrO.

- Energy: -3.35 eV/atom
- Theoretical density: 7.48 g cm⁻³
- ΔE_f (raw): -8.89 kcal/mol of atoms

Cell lengths 3.7292, 3.7292, 45.1287 Å; angles 90.00, 90.00, 120.00 degrees
Space group R-3m (No. 166, hexagonal axes)
Asymmetric unit:
Tl: 0.0000 0.0000 0.0000 x3
Tl: 0.0000 0.0000 0.5000 x3
Ag: 0.0000 0.0000 0.2372 x6
Br: 0.0000 0.0000 0.3882 x6
O: 0.0000 0.0000 0.1894 x6


5.
VASP calculation (PBE) on a relaxed structure of Tl2AgBr2O2.

- Energy: -3.40 eV/atom
- Theoretical density: 7.05 g cm⁻³
- ΔE_f (raw): -9.71 kcal/mol of atoms

Cell lengths 3.9198, 3.9198, 12.5350 Å; angles 90.00, 90.00, 120.00 degrees
Space group P-3m1 (No. 164)
Asymmetric unit:
Tl: 0.3333 0.6667 0.1189 x2
Ag: 0.0000 0.0000 0.5000 x1
Br: 0.0000 0.0000 0.3014 x2
O: 0.3333 0.6667 0.9163 x2


6.
VASP calculation (PBE) on a relaxed structure of AgOs2Br.

- Energy: -5.30 eV/atom
- Theoretical density: 9.98 g cm⁻³
- ΔE_f (raw): 33.23 kcal/mol of atoms
- Energy relative to the lowest polymorph listed for this composition: 898 meV/atom

Cell lengths 3.5705, 3.5705, 7.4175 Å; angles 90.00, 90.00, 90.00 degrees
Space group P4/mmm (No. 123)
Asymmetric unit:
Ag: 0.0000 0.0000 0.0000 x1
Os: 0.0000 0.5000 0.5000 x2
Br: 0.5000 0.5000 0.0000 x1


7.
VASP calculation (PBE) on a relaxed structure of AgOs2Br.

- Energy: -5.12 eV/atom
- Theoretical density: 14.58 g cm⁻³
- ΔE_f (raw): 37.54 kcal/mol of atoms
- Energy relative to the lowest polymorph listed for this composition: 1085 meV/atom

Cell lengths 4.6005, 4.6005, 3.0581 Å; angles 90.00, 90.00, 90.00 degrees
Space group P4/mmm (No. 123)
Asymmetric unit:
Ag: 0.0000 0.0000 0.0000 x1
Os: 0.0000 0.5000 0.5000 x2
Br: 0.5000 0.5000 0.0000 x1


8.
VASP calculation (PBE) on a relaxed structure of Ag6OsBr12.

- Energy: -2.79 eV/atom
- Theoretical density: 4.90 g cm⁻³
- ΔE_f (raw): -5.67 kcal/mol of atoms

Cell lengths 11.4759, 11.4759, 16.0275 Å; angles 90.00, 90.00, 120.00 degrees
Space group R-3 (No. 148, hexagonal axes)
Asymmetric unit:
Ag: 0.0342 0.7738 0.1575 x18
Os: 0.0000 0.0000 0.5000 x3
Br: 0.0172 0.8079 0.8935 x18
Br: 0.0580 0.8593 0.4104 x18


9.
VASP calculation (PBE) on a relaxed structure of Ag2OsBr8.

- Energy: -2.85 eV/atom
- Theoretical density: 4.21 g cm⁻³
- ΔE_f (raw): -2.14 kcal/mol of atoms

Cell lengths 14.4878, 6.5420, 8.8051 Å; angles 90.00, 98.67, 90.00 degrees
Space group C2/m (No. 12)
Asymmetric unit:
Ag: 0.1633 0.0000 0.4222 x4
Os: 0.0000 0.0000 0.0000 x2
Br: 0.0063 0.0000 0.7123 x4
Br: 0.1245 0.2552 0.0357 x8
Br: 0.1726 0.5000 0.4407 x4


10.
VASP calculation (PBE) on a relaxed structure of AgOsBr2.

- Energy: -3.29 eV/atom
- Theoretical density: 10.03 g cm⁻³
- ΔE_f (raw): 24.58 kcal/mol of atoms
- Energy relative to the lowest polymorph listed for this composition: 607 meV/atom

Cell lengths 4.8552, 4.8552, 3.2144 Å; angles 90.00, 90.00, 90.00 degrees
Space group P4/mmm (No. 123)
Asymmetric unit:
Ag: 0.0000 0.0000 0.0000 x1
Os: 0.5000 0.5000 0.0000 x1
Br: 0.0000 0.5000 0.5000 x2


11.
VASP calculation (PBE) on a relaxed structure of AgOs2Br.

- Energy: -5.05 eV/atom
- Theoretical density: 13.21 g cm⁻³
- ΔE_f (raw): 39.15 kcal/mol of atoms
- Energy relative to the lowest polymorph listed for this composition: 1155 meV/atom

Cell lengths 7.4667, 7.4667, 5.1260 Å; angles 90.00, 90.00, 90.00 degrees
Space group I-42d (No. 122)
Asymmetric unit:
Ag: 0.0000 0.0000 0.0000 x4
Os: 0.2037 0.7500 0.6250 x8
Br: 0.0000 0.0000 0.5000 x4


12.
VASP calculation (PBE) on a relaxed structure of AgOs2Br.

- Energy: -5.36 eV/atom
- Theoretical density: 10.37 g cm⁻³
- ΔE_f (raw): 32.01 kcal/mol of atoms
- Energy relative to the lowest polymorph listed for this composition: 845 meV/atom

Cell lengths 2.6409, 4.6461, 7.4178 Å; angles 90.00, 90.00, 90.00 degrees
Space group Pmmm (No. 47)
Asymmetric unit:
Ag: 0.0000 0.0000 0.0000 x1
Os: 0.5000 0.5000 0.1524 x2
Br: 0.0000 0.0000 0.5000 x1